VASP calculation (PBEsol) on an optimized crystal structure of CaZn3Ni.

The structure in extended XYZ format:
```
5
Lattice="5.269 0.000 0.000 0.000 5.269 0.000 0.000 0.000 5.269" Properties=species:S:1:pos:R:3 pbc="T T T"
Ni 2.635 2.635 2.635
Zn 0.000 2.635 0.000
Zn 0.000 0.000 2.635
Zn 2.635 0.000 0.000
Ca 0.000 0.000 0.000
```

Its density of states at the Fermi level is 12.46 states/eV/cell. The space group is No. 221. As for the total energy: -1.08 eV/atom. The value obtained for the size of the total moment is 0.6 μB/cell. The calculation puts the formation energy at 1.52 eV per atom.